[1]
The following is a PBE-GGA calculation of Mg3GaNi9As2 after structural relaxation, from Alexandria.

Geometry as POSCAR:
```
Mg3GaNi9As2
1.0
5.931 0.000 0.000
-2.965 5.136 0.000
0.000 0.000 8.284
Mg Ga Ni As
3 1 9 2
direct
0.000 0.000 0.000
0.333 0.667 0.736
0.667 0.333 0.264
0.000 0.000 0.500
0.000 0.500 0.000
0.132 0.264 0.263
0.132 0.868 0.263
0.264 0.132 0.737
0.500 0.000 0.000
0.500 0.500 0.000
0.736 0.868 0.263
0.868 0.132 0.737
0.868 0.736 0.737
0.333 0.667 0.186
0.667 0.333 0.814
```

Computed properties:
As for the density of states at the Fermi level: 0.7971 states/eV/atom. The calculation puts the volume at 252.3 Å³/cell. As for the energy: -0.3389 Ry per atom. For the formation energy, the calculation gives -1 meV/atom. The total magnetization is 0.00 μB per cell.



[2]
The following is a PBE-GGA calculation of SbBrNF2 after structural relaxation, from Alexandria.

Geometry as POSCAR:
```
SbBrNF2
1.0
4.258 0.000 0.000
0.000 4.258 0.000
0.000 0.000 4.384
Sb Br N F
1 1 1 2
direct
0.000 0.000 0.000
0.500 0.500 0.500
0.000 0.000 0.500
0.000 0.500 0.000
0.500 0.000 0.000
```

Computed properties:
As for the density of states at the Fermi level: 0.3591 states/eV/atom. The formation energy without anion corrections is -0.355 eV per atom. The calculation puts the volume at 79.5 Å³/cell. The energy above the most stable polymorph in this dataset is 0.000 eV/atom. As for the energy: -0.2887 Ry per atom. The total magnetization is 0.00 μB per cell.



- What is the formula in the second record?
  SbBrNF2